Entry 1:
Here is an optimized crystal structure of TmSO4F from Alexandria via LeMat-Bulk. Energies are from GGA-PBE.

```
TmSO4F
1.0
-4.734 3.002 -0.007
-3.963 -3.664 -1.514
-2.635 -1.569 5.593
O S F Tm
8 2 2 2
Direct
0.742 0.742 0.497
0.137 0.479 0.155
0.258 0.258 0.503
0.480 0.480 0.745
0.521 0.863 0.845
0.863 0.521 0.845
0.479 0.137 0.155
0.520 0.520 0.255
0.648 0.648 0.724
0.352 0.352 0.276
0.021 0.021 0.181
0.979 0.979 0.819
0.792 0.792 0.123
0.208 0.208 0.877
```

- space-group type = C2/m, No. 12


Entry 2:
Here is an optimized crystal structure of TmSO4F2 from Alexandria via LeMat-Bulk. Energies are from GGA-PBE.

```
TmSO4F2
1.0
-2.611 -4.368 -1.225
2.116 -3.036 6.317
-4.607 2.045 2.526
O F S Tm
8 4 2 2
Direct
0.286 0.056 0.000
0.931 0.189 0.788
0.431 0.811 0.712
0.431 0.811 0.288
0.786 0.944 0.500
0.876 0.901 0.000
0.931 0.189 0.212
0.376 0.099 0.500
0.919 0.553 0.742
0.419 0.447 0.758
0.919 0.553 0.258
0.419 0.447 0.242
0.004 0.078 0.000
0.504 0.922 0.500
0.634 0.621 0.000
0.134 0.379 0.500
```

- space-group type = Pmn2_1, No. 31


Number 1: uncorrected formation energy -2537.5 meV per atom, Fermi-level density of states 0.00 states/eV per atom. Number 2: uncorrected formation energy -2286.4 meV per atom, Fermi-level density of states 0.30 states/eV per atom.